Here is a geometry-optimized LiGeCl3 structure from the Alexandria database. Energies are from PBE.

Cell: 4.2933 7.2089 9.7898 Å, 101.59 90.00 90.00°
With the nearest neighbours (Å) after each atom.
Element x y z (fractional)
Cl: 0.2500 0.0463 0.3344  1 Li 2.46, 2 Ge 2.68
Cl: 0.2500 0.1824 0.9417  1 Ge 2.28, 1 Li 2.48
Ge: 0.7500 0.8200 0.2920  1 Cl 2.28
Cl: 0.2500 0.5514 0.7415  2 Li 2.43, 1 Ge 2.63
Cl: 0.7500 0.4486 0.2585  2 Li 2.43, 1 Ge 2.63
Cl: 0.7500 0.9537 0.6656  1 Li 2.46, 2 Ge 2.68
Li: 0.2500 0.2977 0.1981  4 Cl 2.43-2.48
Ge: 0.2500 0.1800 0.7080  1 Cl 2.28
Li: 0.7500 0.7023 0.8019  4 Cl 2.43-2.48
Cl: 0.7500 0.8176 0.0583  1 Ge 2.28, 1 Li 2.48

## Properties
Final energy = -3.54 eV/atom
Energy relative to the elements, uncorrected = -1.122 eV/atom